1.
The following is a DFT calculation (PBE) of K2BeOs after structural relaxation.

Summary:
M_tot in μB per cell: 0.0
Formation energy in eV/atom: 1.377

a b c (Å): 5.593 2.748 5.623
angles (deg): 69.81 90.00 90.00
Atoms (fractional coordinates):
Be 0.500 0.750 0.750
Os 0.500 0.250 0.250
K 0.000 0.886 0.995
K 0.000 0.614 0.505

---

2.
The following is a DFT calculation (PBE) of Y3Ga6Ir5 after structural relaxation.

Summary:
M_tot in μB per cell: 0.0
Formation energy in eV/atom: -0.721

a b c (Å): 4.213 9.459 12.574
angles (deg): 90.00 90.00 90.00
Atoms (fractional coordinates):
Ir 0.000 0.535 0.885
Ir 0.000 0.869 0.653
Ir 0.500 0.465 0.385
Ir 0.500 0.131 0.847
Ir 0.000 0.535 0.115
Ir 0.500 0.465 0.615
Ir 0.000 0.869 0.347
Ir 0.000 0.788 0.000
Ir 0.500 0.212 0.500
Ir 0.500 0.131 0.153
Ga 0.000 0.976 0.846
Ga 0.000 0.595 0.321
Ga 0.000 0.595 0.679
Ga 0.000 0.419 0.500
Ga 0.500 0.581 0.000
Ga 0.500 0.024 0.654
Ga 0.500 0.952 0.000
Ga 0.500 0.405 0.821
Ga 0.500 0.405 0.179
Ga 0.000 0.048 0.500
Ga 0.500 0.024 0.346
Ga 0.000 0.976 0.154
Y 0.000 0.252 0.699
Y 0.000 0.258 0.000
Y 0.000 0.252 0.301
Y 0.500 0.742 0.500
Y 0.500 0.748 0.801
Y 0.500 0.748 0.199

---

3.
The following is a DFT calculation (PBE) of TlTe4Mo after structural relaxation.

Summary:
ΔE to the lowest computed polymorph in meV per atom: 890
M_tot in μB per cell: 5.1

a b c (Å): 6.449 6.449 6.449
angles (deg): 60.00 60.00 60.00
Each line ends with the local moment (μB).
Atoms (fractional coordinates):
Te 0.374 0.374 0.877  0.02
Te 0.877 0.374 0.374  0.02
Te 0.374 0.877 0.374  0.02
Te 0.374 0.374 0.374  0.02
Tl 0.750 0.750 0.750  0.05
Mo 0.000 0.000 0.000  3.85

---

4.
The following is a DFT calculation (PBE) of ZrScIn2 after structural relaxation.

Summary:
ΔE to the lowest computed polymorph in meV per atom: 271
M_tot in μB per cell: 0.0
Formation energy in eV/atom: -0.101

a b c (Å): 10.339 10.339 10.339
angles (deg): 18.47 18.47 18.47
Atoms (fractional coordinates):
Sc 0.498 0.498 0.498
In 0.001 0.001 0.001
In 0.250 0.250 0.250
Zr 0.751 0.751 0.751

---

5.
The following is a DFT calculation (PBE) of Cd2FePbSe after structural relaxation.

Summary:
Calculated total energy in eV/atom: -2.6417
M_tot in μB per cell: 3.1

a b c (Å): 5.202 5.925 5.202
angles (deg): 90.00 90.00 90.00
Each line ends with the local moment (μB).
Atoms (fractional coordinates):
Fe 0.500 0.500 0.500  3.25
Cd 0.000 0.000 0.500  0.00
Cd 0.500 0.000 0.000  -0.01
Pb 0.000 0.500 0.000  -0.07
Se 0.000 0.000 0.000  -0.01

---

6.
The following is a DFT calculation (PBE) of PtW2Br after structural relaxation.

Summary:
ΔE to the lowest computed polymorph in meV per atom: 101
M_tot in μB per cell: 0.0

a b c (Å): 2.914 2.914 9.093
angles (deg): 90.00 90.00 109.82
Atoms (fractional coordinates):
Pt 0.500 0.500 0.785
W 0.000 0.000 0.008
W 0.500 0.500 0.230
Br 0.000 0.000 0.476

---

7.
The following is a DFT calculation (PBE) of TbPr3Ho2 after structural relaxation.

Summary:
ΔE to the lowest computed polymorph in meV per atom: 0
M_tot in μB per cell: 0.0
Formation energy in eV/atom: 0.309

a b c (Å): 6.451 11.515 8.805
angles (deg): 130.83 111.49 90.00
Atoms (fractional coordinates):
Pr 0.000 0.500 0.500
Pr 0.500 0.212 0.000
Pr 0.000 0.000 0.500
Pr 0.000 0.712 0.000
Pr 0.000 0.288 0.000
Pr 0.500 0.788 0.000
Ho 0.909 0.095 0.191
Ho 0.091 0.905 0.809
Ho 0.219 0.405 0.809
Ho 0.781 0.595 0.191
Tb 0.550 0.250 0.500
Tb 0.450 0.750 0.500

---

8.
The following is a DFT calculation (PBE) of Tb4NdSc after structural relaxation.

Summary:
M_tot in μB per cell: 0.0
Formation energy in eV/atom: 0.201

a b c (Å): 5.931 5.931 11.335
angles (deg): 117.73 117.73 33.77
Atoms (fractional coordinates):
Tb 0.844 0.844 0.650
Tb 0.156 0.156 0.350
Tb 0.654 0.654 0.837
Tb 0.346 0.346 0.163
Sc 0.500 0.500 0.500
Nd 0.000 0.000 0.000

---

9.
The following is a DFT calculation (PBE) of FeTe2OsN after structural relaxation.

Summary:
ΔE to the lowest computed polymorph in meV per atom: 324
M_tot in μB per cell: 2.9

a b c (Å): 5.045 3.742 5.045
angles (deg): 90.00 90.00 90.00
Each line ends with the local moment (μB).
Atoms (fractional coordinates):
N 0.000 0.000 0.000  -0.02
Te 0.500 0.000 0.000  0.01
Te 0.000 0.000 0.500  -0.04
Fe 0.500 0.500 0.500  3.03
Os 0.000 0.500 0.000  -0.05

---

10.
The following is a DFT calculation (PBE) of AlCdTeI2 after structural relaxation.

Summary:
ΔE to the lowest computed polymorph in meV per atom: 0
M_tot in μB per cell: 0.0

a b c (Å): 5.517 5.517 5.566
angles (deg): 90.00 90.00 90.00
Atoms (fractional coordinates):
Al 0.000 0.000 0.000
I 0.500 0.000 0.000
I 0.000 0.500 0.000
Cd 0.500 0.500 0.500
Te 0.000 0.000 0.500

---

11.
The following is a DFT calculation (PBE) of BiSbPPb2 after structural relaxation.

Summary:
Calculated total energy in eV/atom: -3.3356
M_tot in μB per cell: 0.0

a b c (Å): 6.046 5.121 6.046
angles (deg): 90.00 90.00 90.00
Atoms (fractional coordinates):
Pb 0.500 0.000 0.000
Pb 0.000 0.000 0.500
Sb 0.500 0.500 0.500
P 0.000 0.500 0.000
Bi 0.000 0.000 0.000

---

12.
The following is a DFT calculation (PBE) of TbPmHoTh after structural relaxation.

Summary:
ΔE to the lowest computed polymorph in meV per atom: 160
M_tot in μB per cell: 0.0
Formation energy in eV/atom: 0.180

a b c (Å): 5.696 5.696 5.696
angles (deg): 60.00 60.00 60.00
Atoms (fractional coordinates):
Ho 0.750 0.750 0.750
Th 0.500 0.500 0.500
Tb 0.000 0.000 0.000
Pm 0.250 0.250 0.250